# PBE PuHfNp, relaxed
data_PuHfNp
_chemical_formula_sum 'Pu1 Hf1 Np1'
_symmetry_space_group_name_H-M 'P 1'
_symmetry_Int_Tables_number 1
_cell_length_a 4.5054
_cell_length_b 4.5054
_cell_length_c 4.5054
_cell_angle_alpha 60.00
_cell_angle_beta 60.00
_cell_angle_gamma 60.00
loop_
_symmetry_equiv_pos_as_xyz
'x,y,z'
loop_
_atom_site_label
_atom_site_fract_x
_atom_site_fract_y
_atom_site_fract_z
Pu1 0.0000 0.0000 0.0000
Hf1 0.7500 0.7500 0.7500
Np1 0.2500 0.2500 0.2500
# - M_tot: 1.4848 μB/atom
# - Polymorph energy (0 for the lowest one): 0.0 meV per atom
# - Space group: F-43m, No. 216
# - E: -11.452 eV per atom

---

# PBE HfNpSb, relaxed
data_HfNpSb
_chemical_formula_sum 'Hf1 Np1 Sb1'
_symmetry_space_group_name_H-M 'P 1'
_symmetry_Int_Tables_number 1
_cell_length_a 4.8357
_cell_length_b 4.8357
_cell_length_c 4.8357
_cell_angle_alpha 60.00
_cell_angle_beta 60.00
_cell_angle_gamma 60.00
loop_
_symmetry_equiv_pos_as_xyz
'x,y,z'
loop_
_atom_site_label
_atom_site_fract_x
_atom_site_fract_y
_atom_site_fract_z
Np1 0.2500 0.2500 0.2500
Hf1 0.0000 0.0000 0.0000
Sb1 0.7500 0.7500 0.7500
# - M_tot: 1.3583 μB/atom
# - Space group: F-43m, No. 216
# - E: -8.459 eV per atom

---

# PBE HfNpSi, relaxed
data_HfNpSi
_chemical_formula_sum 'Hf1 Np1 Si1'
_symmetry_space_group_name_H-M 'P 1'
_symmetry_Int_Tables_number 1
_cell_length_a 4.5867
_cell_length_b 4.5867
_cell_length_c 4.5867
_cell_angle_alpha 60.00
_cell_angle_beta 60.00
_cell_angle_gamma 60.00
loop_
_symmetry_equiv_pos_as_xyz
'x,y,z'
loop_
_atom_site_label
_atom_site_fract_x
_atom_site_fract_y
_atom_site_fract_z
Si1 0.0000 0.0000 0.0000
Hf1 0.2500 0.2500 0.2500
Np1 0.7500 0.7500 0.7500
# - M_tot: 1.5678 μB/atom
# - Polymorph energy (0 for the lowest one): 0.0 meV per atom
# - Space group: F-43m, No. 216
# - E: -9.290 eV per atom

---

What did the second record say?
# PBE HfNpSb, relaxed
data_HfNpSb
_chemical_formula_sum 'Hf1 Np1 Sb1'
_symmetry_space_group_name_H-M 'P 1'
_symmetry_Int_Tables_number 1
_cell_length_a 4.8357
_cell_length_b 4.8357
_cell_length_c 4.8357
_cell_angle_alpha 60.00
_cell_angle_beta 60.00
_cell_angle_gamma 60.00
loop_
_symmetry_equiv_pos_as_xyz
'x,y,z'
loop_
_atom_site_label
_atom_site_fract_x
_atom_site_fract_y
_atom_site_fract_z
Np1 0.2500 0.2500 0.2500
Hf1 0.0000 0.0000 0.0000
Sb1 0.7500 0.7500 0.7500
# - M_tot: 1.3583 μB/atom
# - Space group: F-43m, No. 216
# - E: -8.459 eV per atom